This record from Alexandria via LeMat-Bulk describes VCl2O after structural relaxation. The functional is GGA+U.

Cell lengths 3.5233, 3.6434, 13.2567 Å; angles 90.00, 90.00, 90.00 degrees
Space group Immm (No. 71)
Unique sites:
V 0.0000 0.0000 0.0000 [2 per cell]
Cl 0.0000 0.5000 0.3744 [4 per cell]
O 0.0000 0.5000 0.0000 [2 per cell]

Computed properties:
**VASP energy**: -5.39 eV/atom
**Total moment**: 0.972 μB per formula unit